[1]
Crystalline Sr2LiTlPt at its relaxed geometry. Source: Alexandria, functional GGA-PBE.

Cell lengths 5.8961, 5.8961, 5.3084 Å; angles 90.00, 90.00, 90.00 degrees
Atoms (fractional coordinates):
1 Sr 0.0000 0.5000 0.0000
2 Sr 0.5000 0.0000 0.0000
3 Tl 0.0000 0.0000 0.5000
4 Pt 0.0000 0.0000 0.0000
5 Li 0.5000 0.5000 0.5000

Properties
polymorph energy (0 for the lowest one): 91.8 meV per atom
energy relative to the elements: -317 meV per atom
final energy: -3.054 eV per atom
calculated volume: 36.908 A^3/atom
total magnetization: 0.00 μB/cell

[2]
Crystalline SiHO2 at its relaxed geometry. Source: Alexandria, functional GGA-PBE.

Cell lengths 5.2963, 5.2963, 5.2963 Å; angles 31.00, 31.00, 31.00 degrees
Atoms (fractional coordinates):
1 H 0.5000 0.5000 0.5000
2 Si 0.0000 0.0000 0.0000
3 O 0.8951 0.8951 0.8951
4 O 0.1049 0.1049 0.1049

Properties
polymorph energy (0 for the lowest one): 1336.3 meV per atom
final energy: -4.854 eV per atom
calculated volume: 8.738 A^3/atom
total magnetization: 0.00 μB/cell

[3]
Crystalline Re2TeMo at its relaxed geometry. Source: Alexandria, functional GGA-PBE.

Cell lengths 2.8411, 2.8411, 9.4733 Å; angles 90.00, 90.00, 111.63 degrees
Atoms (fractional coordinates):
1 Mo 0.5000 0.5000 0.7779
2 Re 0.0000 0.0000 0.9999
3 Re 0.5000 0.5000 0.2169
4 Te 0.0000 0.0000 0.5053

Properties
ΔE_f (raw): 299 kJ/mol of formula units
final energy: -8.943 eV per atom
calculated volume: 17.771 A^3/atom
total magnetization: 0.00 μB/cell

[4]
Crystalline Tb3Pm6SmHo2 at its relaxed geometry. Source: Alexandria, functional GGA-PBE.

Cell lengths 6.2515, 6.2515, 11.9005 Å; angles 95.01, 95.01, 119.98 degrees
Atoms (fractional coordinates):
1 Tb 0.1668 0.8332 0.5000
2 Tb 0.8332 0.1668 0.5000
3 Tb 0.5000 0.5000 0.5000
4 Pm 0.9162 0.5823 0.7500
5 Pm 0.7500 0.7500 0.2500
6 Pm 0.0838 0.4177 0.2500
7 Pm 0.5823 0.9162 0.7500
8 Pm 0.2500 0.2500 0.7500
9 Pm 0.4177 0.0838 0.2500
10 Sm 0.0000 0.0000 0.0000
11 Ho 0.3334 0.6666 0.0000
12 Ho 0.6666 0.3334 0.0000

Properties
energy relative to the elements: 12 meV per atom
final energy: -4.677 eV per atom
calculated volume: 33.055 A^3/atom
total magnetization: 0.00 μB/cell

Which formula does entry 3 have?
Re2TeMo

Which of these has the highest final energy?
Sr2LiTlPt

Please write out number 4 again, unchanged.
Crystalline Tb3Pm6SmHo2 at its relaxed geometry. Source: Alexandria, functional GGA-PBE.

Cell lengths 6.2515, 6.2515, 11.9005 Å; angles 95.01, 95.01, 119.98 degrees
Atoms (fractional coordinates):
1 Tb 0.1668 0.8332 0.5000
2 Tb 0.8332 0.1668 0.5000
3 Tb 0.5000 0.5000 0.5000
4 Pm 0.9162 0.5823 0.7500
5 Pm 0.7500 0.7500 0.2500
6 Pm 0.0838 0.4177 0.2500
7 Pm 0.5823 0.9162 0.7500
8 Pm 0.2500 0.2500 0.7500
9 Pm 0.4177 0.0838 0.2500
10 Sm 0.0000 0.0000 0.0000
11 Ho 0.3334 0.6666 0.0000
12 Ho 0.6666 0.3334 0.0000

Properties
energy relative to the elements: 12 meV per atom
final energy: -4.677 eV per atom
calculated volume: 33.055 A^3/atom
total magnetization: 0.00 μB/cell